Entry from Alexandria via LeMat-Bulk: KBiPb after structural relaxation (PBE).

Unit cell a=5.595 b=5.595 c=9.442 alpha=90.00 beta=90.00 gamma=120.00
Positions (direct):
K: 0.000 0.000 0.207
K: 0.000 0.000 0.793
Bi: 0.333 0.667 0.335
Bi: 0.333 0.667 0.665
Pb: 0.333 0.667 0.000
Pb: 0.667 0.333 0.500

Values from the calculation:
Total energy   -8.65 eV per formula unit
Volume   42.65 Å³/atom
ΔH_f (0 K)   0.01 eV/atom

***

Entry from Alexandria via LeMat-Bulk: K2Bi2Pb after structural relaxation (PBE).

Unit cell a=10.226 b=10.226 c=6.490 alpha=90.00 beta=90.00 gamma=142.51
Positions (direct):
K: 0.063 0.937 0.750
K: 0.301 0.699 0.250
K: 0.699 0.301 0.750
K: 0.937 0.063 0.250
Bi: 0.114 0.365 0.750
Bi: 0.365 0.114 0.250
Bi: 0.635 0.886 0.750
Bi: 0.886 0.635 0.250
Pb: 0.500 0.500 0.000
Pb: 0.500 0.500 0.500

Values from the calculation:
Total energy   -14.98 eV per formula unit
Volume   41.30 Å³/atom
ΔH_f (0 K)   -0.26 eV/atom

***

Entry from Alexandria via LeMat-Bulk: K5Bi4Pb4 after structural relaxation (PBE).

Unit cell a=10.272 b=10.272 c=10.272 alpha=93.85 beta=93.85 gamma=149.98
Positions (direct):
K: 0.000 0.000 0.000
K: 0.292 0.638 0.930
K: 0.362 0.292 0.654
K: 0.638 0.708 0.346
K: 0.708 0.362 0.070
Bi: 0.049 0.742 0.791
Bi: 0.258 0.049 0.306
Bi: 0.742 0.951 0.694
Bi: 0.951 0.258 0.209
Pb: 0.102 0.433 0.535
Pb: 0.433 0.898 0.332
Pb: 0.567 0.102 0.668
Pb: 0.898 0.567 0.465

Values from the calculation:
Total energy   -39.19 eV per formula unit
Volume   40.30 Å³/atom
ΔH_f (0 K)   -0.26 eV/atom

***

Entry from Alexandria via LeMat-Bulk: KBi4Pb4 after structural relaxation (PBE).

Unit cell a=8.440 b=8.440 c=8.440 alpha=97.30 beta=97.30 gamma=138.24
Positions (direct):
K: 0.000 0.000 0.000
Bi: 0.170 0.309 0.479
Bi: 0.309 0.830 0.139
Bi: 0.691 0.170 0.861
Bi: 0.830 0.691 0.521
Pb: 0.120 0.598 0.718
Pb: 0.402 0.120 0.521
Pb: 0.598 0.880 0.479
Pb: 0.880 0.402 0.282

Values from the calculation:
Total energy   -31.23 eV per formula unit
Volume   41.57 Å³/atom
ΔH_f (0 K)   0.02 eV/atom

***

Entry from Alexandria via LeMat-Bulk: KBiPb3 after structural relaxation (PBE).

Unit cell a=6.973 b=7.374 c=7.323 alpha=90.00 beta=90.00 gamma=90.00
Positions (direct):
K: 0.000 0.244 0.000
K: 0.500 0.756 0.500
Bi: 0.000 0.907 0.643
Bi: 0.500 0.093 0.143
Pb: 0.000 0.604 0.341
Pb: 0.250 0.255 0.489
Pb: 0.250 0.745 0.989
Pb: 0.500 0.396 0.841
Pb: 0.750 0.255 0.489
Pb: 0.750 0.745 0.989

Values from the calculation:
Total energy   -16.53 eV per formula unit
Volume   37.65 Å³/atom
ΔH_f (0 K)   -0.09 eV/atom

***

Entry from Alexandria via LeMat-Bulk: KBi3Pb3 after structural relaxation (PBE).

Unit cell a=8.832 b=8.832 c=8.832 alpha=90.00 beta=90.00 gamma=90.00
Positions (direct):
K: 0.000 0.000 0.000
K: 0.500 0.500 0.500
Bi: 0.000 0.250 0.500
Bi: 0.000 0.750 0.500
Bi: 0.250 0.500 0.000
Bi: 0.500 0.000 0.250
Bi: 0.500 0.000 0.750
Bi: 0.750 0.500 0.000
Pb: 0.000 0.500 0.250
Pb: 0.000 0.500 0.750
Pb: 0.250 0.000 0.500
Pb: 0.500 0.250 0.000
Pb: 0.500 0.750 0.000
Pb: 0.750 0.000 0.500

Values from the calculation:
Total energy   -23.36 eV per formula unit
Volume   49.22 Å³/atom
ΔH_f (0 K)   0.07 eV/atom

***

Entry from Alexandria via LeMat-Bulk: KBi2Pb6 after structural relaxation (PBE).

Unit cell a=4.973 b=4.973 c=12.741 alpha=90.00 beta=90.00 gamma=90.00
Positions (direct):
K: 0.000 0.000 0.000
Bi: 0.500 0.500 0.124
Bi: 0.500 0.500 0.876
Pb: 0.000 0.000 0.500
Pb: 0.000 0.500 0.297
Pb: 0.000 0.500 0.703
Pb: 0.500 0.000 0.297
Pb: 0.500 0.000 0.703
Pb: 0.500 0.500 0.500

Values from the calculation:
Total energy   -31.84 eV per formula unit
Volume   35.00 Å³/atom
ΔH_f (0 K)   -0.08 eV/atom

***

Entry from Alexandria via LeMat-Bulk: KBiPb4 after structural relaxation (PBE).

Unit cell a=6.619 b=6.619 c=6.619 alpha=60.00 beta=60.00 gamma=60.00
Positions (direct):
K: 0.000 0.000 0.000
Bi: 0.750 0.750 0.750
Pb: 0.375 0.375 0.375
Pb: 0.375 0.375 0.874
Pb: 0.375 0.874 0.375
Pb: 0.874 0.375 0.375

Values from the calculation:
Total energy   -19.76 eV per formula unit
Volume   34.18 Å³/atom
ΔH_f (0 K)   0.01 eV/atom